No. 1
Compound: KAlIn3
Source: Alexandria via LeMat-Bulk
Functional: PBE
Structure: relaxed

Unit cell a=6.024 b=6.024 c=6.024 alpha=90.00 beta=90.00 gamma=90.00
Element x y z (fractional)
K (0.000, 0.000, 0.000)
Al (0.500, 0.500, 0.500)
In (0.000, 0.500, 0.000)
In (0.000, 0.000, 0.500)
In (0.500, 0.000, 0.000)

* crystal system: cubic
* energy of formation: 1.051 eV/atom
* volume: 219 Å³ per cell
* DOS at the Fermi energy: 4.09 states/eV per cell
* ρ: 3.12 g/cm3

No. 2
Compound: KAl2In
Source: Alexandria via LeMat-Bulk
Functional: PBE
Structure: relaxed

Unit cell a=11.002 b=11.002 c=11.002 alpha=17.15 beta=17.15 gamma=17.15
Element x y z (fractional)
K (0.750, 0.750, 0.750)
Al (0.991, 0.991, 0.991)
Al (0.509, 0.509, 0.509)
In (0.250, 0.250, 0.250)

* crystal system: trigonal
* energy of formation: 0.318 eV/atom
* volume: 101 Å³ per cell
* DOS at the Fermi energy: 1.86 states/eV per cell
* ρ: 3.41 g/cm3